Entry from Alexandria: a geometry-optimized Ba2CaAs3Pd4 structure (GGA-PBE).

Cell and atoms, written as extended XYZ:
```
10
Lattice="-0.927 3.911 1.973 -4.050 0.003 -1.908 -4.217 -5.511 8.942" Properties=species:S:1:pos:R:3 pbc="T T T"
Pd -3.483 -1.904 2.137
Pd -3.223 -1.650 6.838
Pd 0.000 0.000 0.000
Pd -2.489 1.957 0.032
As -2.526 -0.653 0.108
As -2.109 -2.755 4.471
As -4.180 -2.901 8.866
Ba -1.441 0.677 3.060
Ba -5.264 -4.231 5.914
Ca -4.597 -0.798 4.503
```

Values from the calculation:
As for the formation energy: -0.793 eV/atom. The volume is 227 Å³ per cell. Its energy is -0.35642 Ry per atom.